Record 1
The following is a DFT calculation (PBE) of a relaxed structure of KYTe2O6.

Cell and atoms, written as POSCAR:
```
KYTe2O6
1.0
-5.559 1.889 -1.535
-2.323 0.206 8.667
4.215 13.069 0.819
K Y Te O
4 4 8 24
Direct
0.250 0.995 0.621 K
0.250 0.505 0.121 K
0.750 0.005 0.379 K
0.750 0.495 0.879 K
0.250 0.794 0.903 Y
0.250 0.706 0.403 Y
0.750 0.206 0.097 Y
0.750 0.294 0.597 Y
0.750 0.005 0.801 Te
0.750 0.495 0.301 Te
0.250 0.995 0.199 Te
0.250 0.505 0.699 Te
0.750 0.717 0.577 Te
0.750 0.783 0.077 Te
0.250 0.283 0.423 Te
0.250 0.217 0.923 Te
0.991 0.872 0.793 O
0.509 0.628 0.293 O
0.491 0.128 0.207 O
0.009 0.372 0.707 O
0.009 0.128 0.207 O
0.491 0.372 0.707 O
0.509 0.872 0.793 O
0.991 0.628 0.293 O
0.750 0.065 0.670 O
0.750 0.435 0.170 O
0.250 0.935 0.330 O
0.250 0.565 0.830 O
0.987 0.798 0.505 O
0.513 0.702 0.005 O
0.487 0.202 0.495 O
0.013 0.298 0.995 O
0.013 0.202 0.495 O
0.487 0.298 0.995 O
0.513 0.798 0.505 O
0.987 0.702 0.005 O
0.750 0.522 0.526 O
0.750 0.978 0.026 O
0.250 0.478 0.474 O
0.250 0.022 0.974 O
```

raw formation energy	-1894	meV/atom
crystal system	orthorhombic

Record 2
The following is a DFT calculation (PBE) of a relaxed structure of KY3Te4O12.

Cell and atoms, written as POSCAR:
```
KY3Te4O12
1.0
-4.516 -3.548 -4.633
6.011 1.363 -4.057
2.182 -5.230 4.726
K Y Te O
1 3 4 12
Direct
0.000 0.000 0.000 K
0.573 0.427 0.000 Y
0.427 0.000 0.573 Y
0.000 0.573 0.427 Y
0.908 0.092 0.500 Te
0.092 0.500 0.908 Te
0.500 0.908 0.092 Te
0.500 0.500 0.500 Te
0.500 0.324 0.676 O
0.925 0.500 0.075 O
0.075 0.925 0.500 O
0.500 0.075 0.925 O
0.395 0.058 0.285 O
0.285 0.395 0.058 O
0.058 0.285 0.395 O
0.605 0.715 0.942 O
0.942 0.605 0.715 O
0.715 0.942 0.605 O
0.676 0.500 0.324 O
0.324 0.676 0.500 O
```

raw formation energy	-1775	meV/atom
crystal system	trigonal

Record 3
The following is a DFT calculation (PBE) of a relaxed structure of K3YTe2O9.

Cell and atoms, written as POSCAR:
```
K3YTe2O9
1.0
-3.605 2.157 4.048
-1.342 -4.965 -2.754
3.455 -3.748 5.074
K Y Te O
3 1 2 9
Direct
0.333 0.667 0.668 K
0.000 0.000 0.000 K
0.667 0.333 0.332 K
0.000 0.000 0.500 Y
0.333 0.667 0.167 Te
0.667 0.333 0.833 Te
0.823 0.177 0.687 O
0.823 0.647 0.687 O
0.353 0.177 0.687 O
0.647 0.823 0.313 O
0.177 0.353 0.313 O
0.177 0.823 0.313 O
0.500 0.000 0.000 O
0.000 0.500 0.000 O
0.500 0.500 0.000 O
```

raw formation energy	-1686	meV/atom
crystal system	trigonal